Entry one
A plane-wave DFT calculation with PBE was carried out for an optimized crystal structure of FeHg2Au.

Computed properties:
- Size of the total moment: 0.744 μB/atom

a = 5.745 Å, b = 5.745 Å, c = 5.745 Å
α = 149.75°, β = 125.61°, γ = 63.51°
Positions (direct):
Fe (0.000, 0.000, 0.000)
Hg (0.236, 0.736, 0.500)
Hg (0.764, 0.264, 0.500)
Au (0.500, 0.500, 0.000)

=====

Entry two
A plane-wave DFT calculation with PBE was carried out for an optimized crystal structure of FeHg2Au.

Computed properties:
- Size of the total moment: 0.746 μB/atom

a = 5.225 Å, b = 5.225 Å, c = 5.225 Å
α = 132.80°, β = 132.80°, γ = 68.96°
Positions (direct):
Fe (0.000, 0.000, 0.000)
Hg (0.250, 0.750, 0.500)
Hg (0.500, 0.500, 0.000)
Au (0.750, 0.250, 0.500)

=====

Most stable one: entry one, least stable one: entry two.

=====

Entry one
A plane-wave DFT calculation with PBE was carried out for an optimized crystal structure of FeHg2Au.

Computed properties:
- Size of the total moment: 0.702 μB/atom

a = 3.000 Å, b = 3.000 Å, c = 8.224 Å
α = 90.00°, β = 90.00°, γ = 90.13°
Positions (direct):
Fe (0.000, 0.000, 0.000)
Hg (0.500, 0.500, 0.231)
Hg (0.500, 0.500, 0.769)
Au (0.000, 0.000, 0.500)

=====

Entry two
A plane-wave DFT calculation with PBE was carried out for an optimized crystal structure of FeHg2Au.

Computed properties:
- Size of the total moment: 0.777 μB/atom

a = 10.390 Å, b = 10.390 Å, c = 10.390 Å
α = 157.30°, β = 157.30°, γ = 32.31°
Positions (direct):
Fe (0.000, 0.000, 0.000)
Fe (0.750, 0.250, 0.500)
Hg (0.120, 0.625, 0.995)
Hg (0.375, 0.370, 0.495)
Hg (0.630, 0.125, 0.005)
Hg (0.875, 0.880, 0.505)
Au (0.250, 0.750, 0.500)
Au (0.500, 0.500, 0.000)

=====

Most stable one: entry one, least stable one: entry two.

=====

Entry one
A plane-wave DFT calculation with PBE was carried out for an optimized crystal structure of FeHg2Au.

Computed properties:
- Size of the total moment: 0.681 μB/atom

a = 4.177 Å, b = 4.212 Å, c = 4.245 Å
α = 90.00°, β = 90.00°, γ = 90.00°
Positions (direct):
Fe (0.000, 0.000, 0.000)
Hg (0.500, 0.000, 0.500)
Hg (0.500, 0.500, 0.000)
Au (0.000, 0.500, 0.500)

=====

Entry two
A plane-wave DFT calculation with PBE was carried out for an optimized crystal structure of FeHg2Au.

Computed properties:
- Size of the total moment: 0.663 μB/atom

a = 9.489 Å, b = 9.489 Å, c = 9.489 Å
α = 18.48°, β = 18.48°, γ = 18.48°
Positions (direct):
Fe (0.000, 0.000, 0.000)
Hg (0.255, 0.255, 0.255)
Hg (0.745, 0.745, 0.745)
Au (0.500, 0.500, 0.500)

=====

Most stable one: entry two, least stable one: entry one.

=====

Entry one
A plane-wave DFT calculation with PBE was carried out for an optimized crystal structure of FeHgAu.

Computed properties:
- Size of the total moment: 1.002 μB/atom

a = 4.399 Å, b = 4.399 Å, c = 4.399 Å
α = 60.00°, β = 60.00°, γ = 60.00°
Positions (direct):
Fe (0.000, 0.000, 0.000)
Hg (0.250, 0.250, 0.250)
Au (0.750, 0.750, 0.750)

=====

Entry two
A plane-wave DFT calculation with PBE was carried out for an optimized crystal structure of FeHgAu.

Computed properties:
- Size of the total moment: 0.977 μB/atom

a = 2.990 Å, b = 2.990 Å, c = 6.883 Å
α = 90.00°, β = 90.00°, γ = 120.00°
Positions (direct):
Fe (0.000, 0.000, 0.000)
Hg (0.667, 0.333, 0.327)
Au (0.333, 0.667, 0.699)

=====

Entry three
A plane-wave DFT calculation with PBE was carried out for an optimized crystal structure of FeHgAu.

Computed properties:
- Size of the total moment: 0.952 μB/atom

a = 6.233 Å, b = 6.233 Å, c = 6.233 Å
α = 152.26°, β = 152.26°, γ = 39.64°
Positions (direct):
Fe (0.000, 0.000, 0.000)
Hg (0.663, 0.663, 0.000)
Au (0.356, 0.356, 0.000)

=====

Most stable one: entry three, least stable one: entry one.

=====

Entry one
A plane-wave DFT calculation with PBE was carried out for an optimized crystal structure of FeAuI2.

Computed properties:
- Size of the total moment: 0.860 μB/atom

a = 5.213 Å, b = 5.213 Å, c = 5.213 Å
α = 60.00°, β = 60.00°, γ = 60.00°
Positions (direct):
Fe (0.000, 0.000, 0.000)
Au (0.500, 0.500, 0.500)
I (0.250, 0.250, 0.250)
I (0.750, 0.750, 0.750)

=====

Entry two
A plane-wave DFT calculation with PBE was carried out for an optimized crystal structure of FeAuI2.

Computed properties:
- Size of the total moment: 0.753 μB/atom

a = 7.684 Å, b = 7.684 Å, c = 7.684 Å
α = 131.03°, β = 131.03°, γ = 71.77°
Positions (direct):
Fe (0.000, 0.000, 0.000)
Fe (0.750, 0.250, 0.500)
Au (0.250, 0.750, 0.500)
Au (0.500, 0.500, 0.000)
I (0.095, 0.625, 0.970)
I (0.375, 0.345, 0.470)
I (0.655, 0.125, 0.030)
I (0.875, 0.905, 0.530)

=====

Most stable one: entry two, least stable one: entry one.

=====

Entry one
A plane-wave DFT calculation with PBE was carried out for an optimized crystal structure of Fe2AuI.

Computed properties:
- Size of the total moment: 1.500 μB/atom

a = 7.284 Å, b = 7.284 Å, c = 7.284 Å
α = 132.82°, β = 132.82°, γ = 68.93°
Positions (direct):
Fe (0.101, 0.625, 0.976)
Fe (0.375, 0.351, 0.476)
Fe (0.649, 0.125, 0.024)
Fe (0.875, 0.899, 0.524)
Au (0.000, 0.000, 0.000)
Au (0.750, 0.250, 0.500)
I (0.250, 0.750, 0.500)
I (0.500, 0.500, 0.000)

=====

Entry two
A plane-wave DFT calculation with PBE was carried out for an optimized crystal structure of Fe2AuI.

Computed properties:
- Size of the total moment: 1.402 μB/atom

a = 4.614 Å, b = 4.614 Å, c = 4.614 Å
α = 60.00°, β = 60.00°, γ = 60.00°
Positions (direct):
Fe (0.250, 0.250, 0.250)
Fe (0.750, 0.750, 0.750)
Au (0.000, 0.000, 0.000)
I (0.500, 0.500, 0.500)

=====

Most stable one: entry two, least stable one: entry one.

=====

Entry one
A plane-wave DFT calculation with PBE was carried out for an optimized crystal structure of FeAuIN2.

Computed properties:
- Size of the total moment: 0.139 μB/atom

a = 3.728 Å, b = 3.728 Å, c = 6.847 Å
α = 90.00°, β = 90.00°, γ = 90.00°
Positions (direct):
Fe (0.000, 0.000, 0.000)
Au (0.500, 0.500, 0.500)
I (0.000, 0.000, 0.500)
N (0.000, 0.500, 0.000)
N (0.500, 0.000, 0.000)

=====

Entry two
A plane-wave DFT calculation with PBE was carried out for an optimized crystal structure of FeAuIN2.

Computed properties:
- Size of the total moment: 0.689 μB/atom

a = 3.887 Å, b = 3.887 Å, c = 7.715 Å
α = 90.00°, β = 90.00°, γ = 90.00°
Positions (direct):
Fe (0.000, 0.000, 0.000)
Au (0.500, 0.500, 0.500)
I (0.500, 0.500, 0.000)
N (0.000, 0.500, 0.500)
N (0.500, 0.000, 0.500)

=====

Most stable one: entry one, least stable one: entry two.